Entry 1:
DFT (PBE) results for an optimized crystal structure of Hf2TiFeHg.

The structure in extended XYZ format:
```
5
Lattice="-2.489 1.728 -3.707 3.558 -1.798 -3.228 -2.387 -4.138 -0.326" Properties=species:S:1:pos:R:3 pbc="T T T"
Hf -1.245 0.864 -1.853
Hf -1.193 -2.069 -0.163
Fe -0.659 -2.104 -3.630
Ti 0.000 0.000 0.000
Hg 1.779 -0.899 -1.614
```

Energy (eV/atom): -6.09
Density of states at the Fermi level (states/eV/atom): 1.306
Energy of formation (kJ per mole of atoms): 117.6


Entry 2:
DFT (PBE) results for an optimized crystal structure of LiCdAu.

The structure in extended XYZ format:
```
3
Lattice="4.577 0.000 0.000 -2.288 3.964 0.000 0.000 0.000 2.917" Properties=species:S:1:pos:R:3 pbc="T T T"
Au 0.000 0.000 2.650
Cd 2.288 1.321 1.030
Li 0.000 2.642 2.155
```

Energy (eV/atom): -2.38
Density of states at the Fermi level (states/eV/atom): 0.417
Energy of formation (kJ per mole of atoms): -33.6


Entry 3:
DFT (PBE) results for an optimized crystal structure of LaDyHo2Tl2.

The structure in extended XYZ format:
```
12
Lattice="-0.953 -5.078 -0.296 1.825 0.040 -6.563 9.582 -1.954 2.653" Properties=species:S:1:pos:R:3 pbc="T T T"
La 6.029 -1.041 -1.553
La 6.129 -0.856 -5.059
Ho 9.690 -4.385 -1.229
Ho 2.338 -0.338 -1.728
Ho 9.383 -1.569 -3.313
Ho 0.038 -2.623 -0.367
Dy 6.522 -3.891 0.502
Dy 3.684 -3.106 -3.818
Tl 2.713 -0.224 -4.896
Tl 8.873 -1.686 0.344
Tl 3.348 -3.227 -0.657
Tl 7.003 -3.767 -3.179
```

Energy (eV/atom): -4.17
Density of states at the Fermi level (states/eV/atom): 1.057
Energy of formation (kJ per mole of atoms): -25.7


Entry 4:
DFT (PBE) results for an optimized crystal structure of PaSnH.

The structure in extended XYZ format:
```
3
Lattice="-3.673 2.136 0.782 -3.330 -0.519 -2.704 -3.455 -2.217 1.348" Properties=species:S:1:pos:R:3 pbc="T T T"
H -3.965 -0.227 -0.217
Pa -6.446 -0.370 -0.353
Sn -1.231 -0.071 -0.067
```

Energy (eV/atom): -5.62
Density of states at the Fermi level (states/eV/atom): 0.294


Entry 5:
DFT (PBE) results for an optimized crystal structure of GdHoMgRh.

The structure in extended XYZ format:
```
4
Lattice="-3.605 2.523 2.507 -4.876 -1.153 -0.737 -2.635 -2.314 3.654" Properties=species:S:1:pos:R:3 pbc="T T T"
Ho -2.779 -0.236 1.356
Gd -8.337 -0.708 4.068
Mg -5.558 -0.472 2.712
Rh 0.000 0.000 0.000
```

Energy (eV/atom): -7.30
Density of states at the Fermi level (states/eV/atom): 0.464
Energy of formation (kJ per mole of atoms): -38.4


Entry 6:
DFT (PBE) results for an optimized crystal structure of Zr2ScTi2.

The structure in extended XYZ format:
```
10
Lattice="-6.519 1.109 4.286 -3.586 -5.796 -3.955 1.129 -2.271 2.305" Properties=species:S:1:pos:R:3 pbc="T T T"
Zr -7.909 -2.739 1.175
Zr -2.197 -1.948 -0.844
Zr -4.650 -0.090 2.189
Zr -5.456 -4.597 -1.857
Sc -5.053 -2.343 0.166
Sc 0.000 0.000 0.000
Ti -6.742 -5.292 0.635
Ti -2.816 -4.770 -0.773
Ti -2.235 -1.665 2.001
Ti -6.161 -2.188 3.409
```

Energy (eV/atom): -7.68
Density of states at the Fermi level (states/eV/atom): 1.481
Energy of formation (kJ per mole of atoms): 16.0